No. 1
Compound: SrInFeAg2
Source: the Alexandria database
Functional: PBE
Structure: optimized geometry

Its calculated density is 6.16 g/cm3. The calculation puts the total energy at -0.129 Ha/atom.

The space group is P4/mmm (No. 123) and the conventional cell measures 5.072, 5.072 and 4.968 Å, with angles of 90.00, 90.00 and 90.00 degrees. The inequivalent atoms are Sr at (0.000, 0.000, 0.000), In at (0.500, 0.500, 0.000), Fe at (0.500, 0.500, 0.500) and Ag at (0.000, 0.500, 0.500).

---

No. 2
Compound: Ce2GaRuPb
Source: the Alexandria database
Functional: PBE
Structure: optimized geometry

Its calculated density is 8.59 g/cm3. The calculation puts the total energy at -0.219 Ha/atom.

The space group is P2_1/m (No. 11) and the conventional cell measures 7.226, 4.338 and 8.843 Å, with angles of 90.00, 113.40 and 90.00 degrees. The inequivalent atoms are Ce at (0.150, 0.250, 0.348), Ce at (0.319, 0.750, 0.046), Ga at (0.197, 0.250, 0.735), Ru at (0.004, 0.750, 0.091) and Pb at (0.388, 0.750, 0.653).

---

No. 3
Compound: HgGeI2O
Source: the Alexandria database
Functional: PBE
Structure: optimized geometry

Its energy relative to the elements, uncorrected is -0.229 eV/atom. Its calculated density is 6.76 g/cm3. For the energy above the most stable polymorph in this dataset, the calculation gives 0.0000 eV/atom.

The space group is P4/mmm (No. 123) and the conventional cell measures 5.945, 5.945 and 3.772 Å, with angles of 90.00, 90.00 and 90.00 degrees. The inequivalent atoms are Hg at (0.000, 0.000, 0.000), Ge at (0.500, 0.500, 0.500), I at (0.000, 0.500, 0.500) and O at (0.500, 0.500, 0.000).